The following is a DFT calculation (PBE) of an optimized crystal structure of Ho5GaNi2.

a = 7.559 Å, b = 7.559 Å, c = 12.980 Å
α = 90.00°, β = 90.00°, γ = 90.00°
Space group I4/mcm (No. 140)
One atom of each set of equivalent atoms:
Ho1 0.000 0.000 0.000 x4
Ho2 0.162 0.338 0.139 x16
Ga1 0.000 0.000 0.250 x4
Ni1 0.126 0.374 0.500 x8

Calculated values
Energy of formation, eV per atom: -0.40
Calculated density, g/cm³: 9.1
DOS(E_F), states/eV/f.u.: 9.4
Total energy, eV per atom: -5.0811



The following is a DFT calculation (PBE) of an optimized crystal structure of La3Sb3O.

a = 13.849 Å, b = 4.310 Å, c = 13.804 Å
α = 90.00°, β = 90.00°, γ = 90.00°
Space group Pnma (No. 62)
One atom of each set of equivalent atoms:
La1 0.004 0.250 0.160 x4
La2 0.086 0.250 0.620 x4
La3 0.235 0.250 0.868 x4
Sb1 0.085 0.250 0.382 x4
Sb2 0.141 0.750 0.026 x4
Sb3 0.243 0.250 0.164 x4
O1 0.075 0.250 0.796 x4

Calculated values
Calculated density, g/cm³: 6.4
DOS(E_F), states/eV/f.u.: 4.1
Raw formation energy, eV per formula unit: -10.7
Total energy, eV per atom: -6.1106



The following is a DFT calculation (PBE) of an optimized crystal structure of ZrAl2Zn.

a = 3.0116 Å, b = 3.0116 Å, c = 27.8497 Å
α = 90.00°, β = 90.00°, γ = 120.00°
Space group R-3m (No. 166, hexagonal axes)
One atom of each set of equivalent atoms:
Zr1 0.0000 0.0000 0.0000 x3
Al1 0.0000 0.0000 0.2444 x6
Zn1 0.0000 0.0000 0.5000 x3

Calculated values
Energy of formation, eV per atom: -0.09
Calculated density, g/cm³: 4.8
DOS(E_F), states/eV/f.u.: 2.6
Total energy, eV per atom: -4.4215



The following is a DFT calculation (PBE) of an optimized crystal structure of LaRu2W.

a = 2.896 Å, b = 3.835 Å, c = 6.969 Å
α = 90.00°, β = 90.00°, γ = 90.00°
Space group Pmm2 (No. 25)
One atom of each set of equivalent atoms:
La1 0.000 0.000 0.000 x1
Ru1 0.000 0.000 0.489 x1
Ru2 0.500 0.500 0.285 x1
W1 0.500 0.500 0.643 x1

Calculated values
Energy of formation, eV per atom: 0.39
Calculated density, g/cm³: 11.3
DOS(E_F), states/eV/f.u.: 4.5
Total energy, eV per atom: -8.7188



The following is a DFT calculation (PBE) of an optimized crystal structure of U2Rh9W.

a = 3.970 Å, b = 3.970 Å, c = 11.913 Å
α = 90.00°, β = 90.00°, γ = 90.00°
Space group P4/mmm (No. 123)
One atom of each set of equivalent atoms:
U1 0.000 0.000 0.169 x2
Rh1 0.000 0.500 0.000 x2
Rh2 0.000 0.500 0.343 x4
Rh3 0.500 0.500 0.173 x2
Rh4 0.500 0.500 0.500 x1
W1 0.000 0.000 0.500 x1

Calculated values
Energy of formation, eV per atom: -0.50
Calculated density, g/cm³: 14.0
DOS(E_F), states/eV/f.u.: 12.8
Total energy, eV per atom: -8.9781



The following is a DFT calculation (PBE) of an optimized crystal structure of SrZrSe2N.

a = 5.513 Å, b = 5.513 Å, c = 4.239 Å
α = 90.00°, β = 90.00°, γ = 90.00°
Space group P4/mmm (No. 123)
One atom of each set of equivalent atoms:
Sr1 0.000 0.000 0.000 x1
Zr1 0.500 0.500 0.500 x1
Se1 0.000 0.500 0.000 x2
N1 0.000 0.000 0.500 x1

Calculated values
Calculated density, g/cm³: 4.5
DOS(E_F), states/eV/f.u.: 6.0
Raw formation energy, eV per formula unit: 3.5
Total energy, eV per atom: -4.4055



The following is a DFT calculation (PBE) of an optimized crystal structure of CdGaRe2.

a = 7.410 Å, b = 7.410 Å, c = 5.136 Å
α = 90.00°, β = 90.00°, γ = 90.00°
Space group I-42d (No. 122)
One atom of each set of equivalent atoms:
Cd1 0.000 0.000 0.000 x4
Ga1 0.000 0.000 0.500 x4
Re1 0.210 0.750 0.625 x8

Calculated values
Energy of formation, eV per atom: 1.01
Calculated density, g/cm³: 13.1
DOS(E_F), states/eV/f.u.: 4.5
Total energy, eV per atom: -6.2005



The following is a DFT calculation (PBE) of an optimized crystal structure of Dy2Tl2SbS6.

a = 6.897 Å, b = 11.884 Å, c = 7.912 Å
α = 90.00°, β = 107.78°, γ = 90.00°
Space group C2/m (No. 12)
One atom of each set of equivalent atoms:
Dy1 0.000 0.167 0.000 x4
Tl1 0.000 0.327 0.500 x4
Sb1 0.000 0.500 0.000 x2
S1 0.230 0.338 0.195 x8
S2 0.247 0.000 0.195 x4

Calculated values
Calculated density, g/cm³: 5.6
DOS(E_F), states/eV/f.u.: 4.5
Raw formation energy, eV per formula unit: -12.1
Total energy, eV per atom: -4.9904



The following is a DFT calculation (PBE) of an optimized crystal structure of La2NpTc2C4.

a = 14.341 Å, b = 3.326 Å, c = 6.102 Å
α = 90.00°, β = 106.16°, γ = 90.00°
Space group C2/m (No. 12)
One atom of each set of equivalent atoms:
La1 0.133 0.000 0.027 x4
Np1 0.000 0.000 0.500 x2
Tc1 0.181 0.500 0.518 x4
C1 0.040 0.500 0.294 x4
C2 0.236 0.000 0.725 x4

Calculated values
Energy of formation, eV per atom: 0.06
Calculated density, g/cm³: 9.0
DOS(E_F), states/eV/f.u.: 7.2
Total energy, eV per atom: -8.8781



The following is a DFT calculation (PBE) of an optimized crystal structure of Pr4Ga12Ni.

a = 8.809 Å, b = 8.809 Å, c = 8.809 Å
α = 90.00°, β = 90.00°, γ = 90.00°
Space group Im-3m (No. 229)
One atom of each set of equivalent atoms:
Pr1 0.250 0.250 0.250 x8
Ga1 0.000 0.000 0.288 x12
Ga2 0.000 0.250 0.500 x12
Ni1 0.000 0.000 0.000 x2

Calculated values
Energy of formation, eV per atom: -0.56
Calculated density, g/cm³: 7.1
DOS(E_F), states/eV/f.u.: 2.7
Total energy, eV per atom: -4.1616



The following is a DFT calculation (PBE) of an optimized crystal structure of InGeW2N.

a = 5.100 Å, b = 5.100 Å, c = 3.867 Å
α = 90.00°, β = 90.00°, γ = 90.00°
Space group P4/mmm (No. 123)
One atom of each set of equivalent atoms:
In1 0.000 0.000 0.000 x1
Ge1 0.500 0.500 0.500 x1
W1 0.000 0.500 0.000 x2
N1 0.000 0.000 0.500 x1

Calculated values
Calculated density, g/cm³: 9.4
DOS(E_F), states/eV/f.u.: 4.4
Raw formation energy, eV per formula unit: 13.5
Total energy, eV per atom: -5.6143



The following is a DFT calculation (PBE) of an optimized crystal structure of SiTc2Ru.

a = 5.008 Å, b = 8.005 Å, c = 2.799 Å
α = 90.00°, β = 90.00°, γ = 90.00°
Space group Cmmm (No. 65)
One atom of each set of equivalent atoms:
Si1 0.000 0.000 0.000 x2
Tc1 0.250 0.250 0.500 x4
Ru1 0.000 0.500 0.000 x2

Calculated values
Calculated density, g/cm³: 9.6
DOS(E_F), states/eV/f.u.: 4.8
Raw formation energy, eV per formula unit: -0.2
Total energy, eV per atom: -8.8982



Q: DOS(E_F) of number 5 (U2Rh9W)?
A: 12.8 states/eV/f.u.



Q: Which of these has the highest total energy?
A: Pr4Ga12Ni



Q: Which of these has the highest calculated density?
A: U2Rh9W



Q: Which value of total energy does entry 1 give?
A: -5.0811 eV per atom